A plane-wave DFT calculation with GGA-PBE was carried out for a relaxed Rb2CdSn2 crystal.

Results
For the density of states at the Fermi level, the calculation gives 7.74 states/eV per cell. Its formation enthalpy at 0 K is 0.05 eV per atom. Its offset from the most stable computed form is 77 kJ/mol of formula units.

Geometry as CIF:
```
data_Rb2CdSn2
_chemical_formula_sum 'Rb4 Cd2 Sn4'
_cell_length_a 10.742
_cell_length_b 10.742
_cell_length_c 3.699
_cell_angle_alpha 90.00
_cell_angle_beta 90.00
_cell_angle_gamma 90.00
_symmetry_space_group_name_H-M 'P 4/m b m'
_symmetry_Int_Tables_number 127
_symmetry_space_group_name_Hall '-P 4 2ab'
loop_
_atom_site_label
_atom_site_type_symbol
_atom_site_fract_x
_atom_site_fract_y
_atom_site_fract_z
_atom_site_occupancy
Rb1 Rb 0.202 0.298 0.000 1
Cd1 Cd 0.000 0.000 0.500 1
Sn1 Sn 0.091 0.591 0.500 1
```